1) # Zn2Ga2O5 | the Open Quantum Materials Database | PBE-GGA | relaxed
data_Zn2Ga2O5
_chemical_formula_sum 'Zn2 Ga2 O5'
_space_group_name_H-M_alt 'P 4/m m m'
_space_group_IT_number 123
_space_group_name_Hall '-P 4 2'
_cell_length_a 3.609
_cell_length_b 3.609
_cell_length_c 7.843
_cell_angle_alpha 90.00
_cell_angle_beta 90.00
_cell_angle_gamma 90.00
loop_
_atom_site_label
_atom_site_fract_x
_atom_site_fract_y
_atom_site_fract_z
Zn1 0.000 0.000 0.245
Ga1 0.500 0.500 0.000
Ga2 0.500 0.500 0.500
O1 0.000 0.000 0.500
O2 0.000 0.500 0.155
# **Crystal system**: tetragonal

=====

2) # Zn2Ga2O5 | the Open Quantum Materials Database | PBE-GGA | relaxed
data_Zn2Ga2O5
_chemical_formula_sum 'Zn2 Ga2 O5'
_space_group_name_H-M_alt 'P 4/m m m'
_space_group_IT_number 123
_space_group_name_Hall '-P 4 2'
_cell_length_a 3.669
_cell_length_b 3.669
_cell_length_c 7.405
_cell_angle_alpha 90.00
_cell_angle_beta 90.00
_cell_angle_gamma 90.00
loop_
_atom_site_label
_atom_site_fract_x
_atom_site_fract_y
_atom_site_fract_z
Zn1 0.000 0.000 0.000
Zn2 0.000 0.000 0.500
Ga1 0.500 0.500 0.243
O1 0.000 0.500 0.183
O2 0.500 0.500 0.500
# **Crystal system**: tetragonal

=====

Which of them is most stable, and which least? Most stable: 2); least stable: 1).

=====

1) # PaGa | the Open Quantum Materials Database | PBE-GGA | relaxed
data_PaGa
_chemical_formula_sum 'Pa1 Ga1'
_space_group_name_H-M_alt 'P -6 m 2'
_space_group_IT_number 187
_space_group_name_Hall 'P -6 2'
_cell_length_a 3.1075
_cell_length_b 3.1075
_cell_length_c 5.2223
_cell_angle_alpha 90.00
_cell_angle_beta 90.00
_cell_angle_gamma 120.00
loop_
_atom_site_label
_atom_site_fract_x
_atom_site_fract_y
_atom_site_fract_z
Pa1 0.0000 0.0000 0.0000
Ga1 0.3333 0.6667 0.5000
# **Crystal system**: hexagonal
# **Size of the total moment**: 0.0 μB per cell

=====

2) # PaGa | the Open Quantum Materials Database | PBE-GGA | relaxed
data_PaGa
_chemical_formula_sum 'Pa4 Ga4'
_space_group_name_H-M_alt 'F -4 3 m'
_space_group_IT_number 216
_space_group_name_Hall 'F -4 2 3'
_cell_length_a 6.438
_cell_length_b 6.438
_cell_length_c 6.438
_cell_angle_alpha 90.00
_cell_angle_beta 90.00
_cell_angle_gamma 90.00
loop_
_atom_site_label
_atom_site_fract_x
_atom_site_fract_y
_atom_site_fract_z
Pa1 0.000 0.000 0.000
Ga1 0.250 0.250 0.750
# **Crystal system**: cubic
# **Size of the total moment**: 0.0 μB per cell

=====

3) # PaGa | the Open Quantum Materials Database | PBE-GGA | relaxed
data_PaGa
_chemical_formula_sum 'Pa4 Ga4'
_space_group_name_H-M_alt 'F m -3 m'
_space_group_IT_number 225
_space_group_name_Hall '-F 4 2 3'
_cell_length_a 5.882
_cell_length_b 5.882
_cell_length_c 5.882
_cell_angle_alpha 90.00
_cell_angle_beta 90.00
_cell_angle_gamma 90.00
loop_
_atom_site_label
_atom_site_fract_x
_atom_site_fract_y
_atom_site_fract_z
Pa1 0.000 0.000 0.000
Ga1 0.000 0.000 0.500
# **Crystal system**: cubic
# **Size of the total moment**: 0.0 μB per cell

=====

Which of them is most stable, and which least? Most stable: 1); least stable: 2).

=====

1) # PaGaSb | the Open Quantum Materials Database | PBE-GGA | relaxed
data_PaGaSb
_chemical_formula_sum 'Pa4 Ga4 Sb4'
_space_group_name_H-M_alt 'F -4 3 m'
_space_group_IT_number 216
_space_group_name_Hall 'F -4 2 3'
_cell_length_a 7.025
_cell_length_b 7.025
_cell_length_c 7.025
_cell_angle_alpha 90.00
_cell_angle_beta 90.00
_cell_angle_gamma 90.00
loop_
_atom_site_label
_atom_site_fract_x
_atom_site_fract_y
_atom_site_fract_z
Pa1 0.000 0.000 0.000
Ga1 0.250 0.250 0.750
Sb1 0.250 0.250 0.250
# **Crystal system**: cubic
# **Size of the total moment**: 3.1 μB per cell

=====

2) # PaGaSb | the Open Quantum Materials Database | PBE-GGA | relaxed
data_PaGaSb
_chemical_formula_sum 'Pa4 Ga4 Sb4'
_space_group_name_H-M_alt 'F -4 3 m'
_space_group_IT_number 216
_space_group_name_Hall 'F -4 2 3'
_cell_length_a 6.756
_cell_length_b 6.756
_cell_length_c 6.756
_cell_angle_alpha 90.00
_cell_angle_beta 90.00
_cell_angle_gamma 90.00
loop_
_atom_site_label
_atom_site_fract_x
_atom_site_fract_y
_atom_site_fract_z
Pa1 0.000 0.000 0.000
Ga1 0.250 0.250 0.250
Sb1 0.000 0.000 0.500
# **Crystal system**: cubic
# **Size of the total moment**: 2.8 μB per cell

=====

Which of them is most stable, and which least? Most stable: 1); least stable: 2).

=====

1) # ScPaGa | the Open Quantum Materials Database | PBE-GGA | relaxed
data_ScPaGa
_chemical_formula_sum 'Sc4 Pa4 Ga4'
_space_group_name_H-M_alt 'F -4 3 m'
_space_group_IT_number 216
_space_group_name_Hall 'F -4 2 3'
_cell_length_a 6.870
_cell_length_b 6.870
_cell_length_c 6.870
_cell_angle_alpha 90.00
_cell_angle_beta 90.00
_cell_angle_gamma 90.00
loop_
_atom_site_label
_atom_site_fract_x
_atom_site_fract_y
_atom_site_fract_z
Sc1 0.000 0.000 0.000
Pa1 0.250 0.250 0.750
Ga1 0.000 0.000 0.500
# **Crystal system**: cubic
# **Size of the total moment**: 11.8 μB per cell

=====

2) # ScPaGa | the Open Quantum Materials Database | PBE-GGA | relaxed
data_ScPaGa
_chemical_formula_sum 'Sc4 Pa4 Ga4'
_space_group_name_H-M_alt 'F -4 3 m'
_space_group_IT_number 216
_space_group_name_Hall 'F -4 2 3'
_cell_length_a 6.688
_cell_length_b 6.688
_cell_length_c 6.688
_cell_angle_alpha 90.00
_cell_angle_beta 90.00
_cell_angle_gamma 90.00
loop_
_atom_site_label
_atom_site_fract_x
_atom_site_fract_y
_atom_site_fract_z
Sc1 0.000 0.000 0.000
Pa1 0.000 0.000 0.500
Ga1 0.250 0.250 0.750
# **Crystal system**: cubic
# **Size of the total moment**: 0.6 μB per cell

=====

Which of them is most stable, and which least? Most stable: 2); least stable: 1).

=====

1) # PaGaSn | the Open Quantum Materials Database | PBE-GGA | relaxed
data_PaGaSn
_chemical_formula_sum 'Pa4 Ga4 Sn4'
_space_group_name_H-M_alt 'F -4 3 m'
_space_group_IT_number 216
_space_group_name_Hall 'F -4 2 3'
_cell_length_a 6.728
_cell_length_b 6.728
_cell_length_c 6.728
_cell_angle_alpha 90.00
_cell_angle_beta 90.00
_cell_angle_gamma 90.00
loop_
_atom_site_label
_atom_site_fract_x
_atom_site_fract_y
_atom_site_fract_z
Pa1 0.000 0.000 0.000
Ga1 0.250 0.250 0.250
Sn1 0.000 0.000 0.500
# **Crystal system**: cubic
# **Size of the total moment**: 4.3 μB per cell

=====

2) # PaGaSn | the Open Quantum Materials Database | PBE-GGA | relaxed
data_PaGaSn
_chemical_formula_sum 'Pa4 Ga4 Sn4'
_space_group_name_H-M_alt 'F -4 3 m'
_space_group_IT_number 216
_space_group_name_Hall 'F -4 2 3'
_cell_length_a 7.012
_cell_length_b 7.012
_cell_length_c 7.012
_cell_angle_alpha 90.00
_cell_angle_beta 90.00
_cell_angle_gamma 90.00
loop_
_atom_site_label
_atom_site_fract_x
_atom_site_fract_y
_atom_site_fract_z
Pa1 0.000 0.000 0.000
Ga1 0.250 0.250 0.750
Sn1 0.250 0.250 0.250
# **Crystal system**: cubic
# **Size of the total moment**: 3.6 μB per cell

=====

Which of them is most stable, and which least? Most stable: 1); least stable: 2).

=====

1) # PaGaTc | the Open Quantum Materials Database | PBE-GGA | relaxed
data_PaGaTc
_chemical_formula_sum 'Pa4 Ga4 Tc4'
_space_group_name_H-M_alt 'F -4 3 m'
_space_group_IT_number 216
_space_group_name_Hall 'F -4 2 3'
_cell_length_a 6.342
_cell_length_b 6.342
_cell_length_c 6.342
_cell_angle_alpha 90.00
_cell_angle_beta 90.00
_cell_angle_gamma 90.00
loop_
_atom_site_label
_atom_site_fract_x
_atom_site_fract_y
_atom_site_fract_z
Pa1 0.000 0.000 0.000
Ga1 0.250 0.250 0.250
Tc1 0.000 0.000 0.500
# **Crystal system**: cubic
# **Size of the total moment**: 0.0 μB per cell

=====

2) # PaGaTc | the Open Quantum Materials Database | PBE-GGA | relaxed
data_PaGaTc
_chemical_formula_sum 'Pa4 Ga4 Tc4'
_space_group_name_H-M_alt 'C 1 2/m 1'
_space_group_IT_number 12
_cell_length_a 10.735
_cell_length_b 4.678
_cell_length_c 4.936
_cell_angle_alpha 90.00
_cell_angle_beta 103.71
_cell_angle_gamma 90.00
loop_
_space_group_symop_operation_xyz
'x,y,z'
'-x,-y,-z'
'-x,y,-z'
'x,-y,z'
'x+1/2,y+1/2,z'
'-x+1/2,-y+1/2,-z'
'-x+1/2,y+1/2,-z'
'x+1/2,-y+1/2,z'
loop_
_atom_site_label
_atom_site_fract_x
_atom_site_fract_y
_atom_site_fract_z
Pa1 0.128 0.000 0.311
Ga1 0.076 0.500 0.793
Tc1 0.187 0.000 0.842
# **Crystal system**: monoclinic
# **Size of the total moment**: 0.0 μB per cell

=====

3) # PaGaTc | the Open Quantum Materials Database | PBE-GGA | relaxed
data_PaGaTc
_chemical_formula_sum 'Pa4 Ga4 Tc4'
_space_group_name_H-M_alt 'F -4 3 m'
_space_group_IT_number 216
_space_group_name_Hall 'F -4 2 3'
_cell_length_a 6.489
_cell_length_b 6.489
_cell_length_c 6.489
_cell_angle_alpha 90.00
_cell_angle_beta 90.00
_cell_angle_gamma 90.00
loop_
_atom_site_label
_atom_site_fract_x
_atom_site_fract_y
_atom_site_fract_z
Pa1 0.000 0.000 0.000
Ga1 0.250 0.250 0.750
Tc1 0.250 0.250 0.250
# **Crystal system**: cubic
# **Size of the total moment**: 0.1 μB per cell

=====

Which of them is most stable, and which least? Most stable: 2); least stable: 3).

=====

1) # ZrPaGa | the Open Quantum Materials Database | PBE-GGA | relaxed
data_ZrPaGa
_chemical_formula_sum 'Zr4 Pa4 Ga4'
_space_group_name_H-M_alt 'F -4 3 m'
_space_group_IT_number 216
_space_group_name_Hall 'F -4 2 3'
_cell_length_a 6.665
_cell_length_b 6.665
_cell_length_c 6.665
_cell_angle_alpha 90.00
_cell_angle_beta 90.00
_cell_angle_gamma 90.00
loop_
_atom_site_label
_atom_site_fract_x
_atom_site_fract_y
_atom_site_fract_z
Zr1 0.000 0.000 0.000
Pa1 0.000 0.000 0.500
Ga1 0.250 0.250 0.750
# **Crystal system**: cubic
# **Size of the total moment**: 2.5 μB per cell

=====

2) # ZrPaGa | the Open Quantum Materials Database | PBE-GGA | relaxed
data_ZrPaGa
_chemical_formula_sum 'Zr4 Pa4 Ga4'
_space_group_name_H-M_alt 'F -4 3 m'
_space_group_IT_number 216
_space_group_name_Hall 'F -4 2 3'
_cell_length_a 6.808
_cell_length_b 6.808
_cell_length_c 6.808
_cell_angle_alpha 90.00
_cell_angle_beta 90.00
_cell_angle_gamma 90.00
loop_
_atom_site_label
_atom_site_fract_x
_atom_site_fract_y
_atom_site_fract_z
Zr1 0.000 0.000 0.000
Pa1 0.250 0.250 0.750
Ga1 0.000 0.000 0.500
# **Crystal system**: cubic
# **Size of the total moment**: 8.2 μB per cell

=====

Which of them is most stable, and which least? Most stable: 1); least stable: 2).

=====

1) # PmGaPb | the Open Quantum Materials Database | PBE-GGA | relaxed
data_PmGaPb
_chemical_formula_sum 'Pm4 Ga4 Pb4'
_space_group_name_H-M_alt 'F -4 3 m'
_space_group_IT_number 216
_space_group_name_Hall 'F -4 2 3'
_cell_length_a 7.025
_cell_length_b 7.025
_cell_length_c 7.025
_cell_angle_alpha 90.00
_cell_angle_beta 90.00
_cell_angle_gamma 90.00
loop_
_atom_site_label
_atom_site_fract_x
_atom_site_fract_y
_atom_site_fract_z
Pm1 0.000 0.000 0.000
Ga1 0.250 0.250 0.750
Pb1 0.000 0.000 0.500
# **Crystal system**: cubic
# **Size of the total moment**: 0.0 μB per cell

=====

2) # PmGaPb | the Open Quantum Materials Database | PBE-GGA | relaxed
data_PmGaPb
_chemical_formula_sum 'Pm4 Ga4 Pb4'
_space_group_name_H-M_alt 'F -4 3 m'
_space_group_IT_number 216
_space_group_name_Hall 'F -4 2 3'
_cell_length_a 7.233
_cell_length_b 7.233
_cell_length_c 7.233
_cell_angle_alpha 90.00
_cell_angle_beta 90.00
_cell_angle_gamma 90.00
loop_
_atom_site_label
_atom_site_fract_x
_atom_site_fract_y
_atom_site_fract_z
Pm1 0.000 0.000 0.000
Ga1 0.250 0.250 0.750
Pb1 0.250 0.250 0.250
# **Crystal system**: cubic
# **Size of the total moment**: 0.0 μB per cell

=====

Which of them is most stable, and which least? Most stable: 1); least stable: 2).

=====

1) # GaPd15 | the Open Quantum Materials Database | PBE-GGA | relaxed
data_GaPd15
_chemical_formula_sum 'Ga2 Pd30'
_space_group_name_H-M_alt 'P 1 21/m 1'
_space_group_IT_number 11
_cell_length_a 5.521
_cell_length_b 2.798
_cell_length_c 45.203
_cell_angle_alpha 90.00
_cell_angle_beta 90.00
_cell_angle_gamma 90.00
loop_
_space_group_symop_operation_xyz
'x,y,z'
'-x,-y,-z'
'-x,y+1/2,-z'
'x,-y+1/2,z'
loop_
_atom_site_label
_atom_site_fract_x
_atom_site_fract_y
_atom_site_fract_z
Ga1 0.125 0.250 0.174
Pd1 0.125 0.250 0.257
Pd2 0.125 0.250 0.346
Pd3 0.125 0.250 0.434
Pd4 0.125 0.250 0.522
Pd5 0.125 0.250 0.610
Pd6 0.125 0.250 0.698
Pd7 0.126 0.250 0.788
Pd8 0.375 0.750 0.302
Pd9 0.375 0.750 0.390
Pd10 0.375 0.750 0.478
Pd11 0.375 0.750 0.566
Pd12 0.375 0.750 0.654
Pd13 0.375 0.750 0.742
Pd14 0.375 0.750 0.832
Pd15 0.376 0.750 0.212
# **Crystal system**: monoclinic

=====

2) # GaPd15 | the Open Quantum Materials Database | PBE-GGA | relaxed
data_GaPd15
_chemical_formula_sum 'Ga4 Pd60'
_space_group_name_H-M_alt 'P c c m'
_space_group_IT_number 49
_cell_length_a 7.919
_cell_length_b 45.077
_cell_length_c 3.926
_cell_angle_alpha 90.00
_cell_angle_beta 90.00
_cell_angle_gamma 90.00
loop_
_space_group_symop_operation_xyz
'x,y,z'
'-x,-y,-z'
'-x,-y,z'
'x,y,-z'
'x,-y,-z+1/2'
'-x,y,z+1/2'
'-x,y,-z+1/2'
'x,-y,z+1/2'
loop_
_atom_site_label
_atom_site_fract_x
_atom_site_fract_y
_atom_site_fract_z
Ga1 0.166 0.174 0.000
Pd1 0.120 0.210 0.500
Pd2 0.122 0.257 0.000
Pd3 0.124 0.302 0.500
Pd4 0.125 0.346 0.000
Pd5 0.125 0.390 0.500
Pd6 0.125 0.434 0.000
Pd7 0.125 0.478 0.500
Pd8 0.370 0.168 0.500
Pd9 0.370 0.258 0.500
Pd10 0.374 0.302 0.000
Pd11 0.375 0.346 0.500
Pd12 0.375 0.390 0.000
Pd13 0.375 0.434 0.500
Pd14 0.375 0.478 0.000
Pd15 0.380 0.214 0.000
# **Crystal system**: orthorhombic

=====

3) # GaPd15 | the Open Quantum Materials Database | PBE-GGA | relaxed
data_GaPd15
_chemical_formula_sum 'Ga2 Pd30'
_space_group_name_H-M_alt 'P 1 2/c 1'
_space_group_IT_number 13
_cell_length_a 4.811
_cell_length_b 36.306
_cell_length_c 4.810
_cell_angle_alpha 90.00
_cell_angle_beta 109.74
_cell_angle_gamma 90.00
loop_
_space_group_symop_operation_xyz
'x,y,z'
'-x,-y,-z'
'-x,y,-z+1/2'
'x,-y,z+1/2'
loop_
_atom_site_label
_atom_site_fract_x
_atom_site_fract_y
_atom_site_fract_z
Ga1 0.000 0.217 0.250
Pd1 0.000 0.246 0.750
Pd2 0.000 0.288 0.250
Pd3 0.000 0.326 0.750
Pd4 0.000 0.365 0.250
Pd5 0.000 0.403 0.750
Pd6 0.000 0.442 0.250
Pd7 0.000 0.481 0.750
Pd8 0.500 0.210 0.750
Pd9 0.500 0.246 0.250
Pd10 0.500 0.287 0.750
Pd11 0.500 0.326 0.250
Pd12 0.500 0.364 0.750
Pd13 0.500 0.403 0.250
Pd14 0.500 0.442 0.750
Pd15 0.500 0.481 0.250
# **Crystal system**: monoclinic

=====

4) # GaPd15 | the Open Quantum Materials Database | PBE-GGA | relaxed
data_GaPd15
_chemical_formula_sum 'Ga2 Pd30'
_space_group_name_H-M_alt 'P m m a'
_space_group_IT_number 51
_cell_length_a 3.913
_cell_length_b 3.915
_cell_length_c 45.355
_cell_angle_alpha 90.00
_cell_angle_beta 90.00
_cell_angle_gamma 90.00
loop_
_space_group_symop_operation_xyz
'x,y,z'
'-x,-y,-z'
'-x+1/2,-y,z'
'x+1/2,y,-z'
'x+1/2,-y,-z'
'-x+1/2,y,z'
'-x,y,-z'
'x,-y,z'
loop_
_atom_site_label
_atom_site_fract_x
_atom_site_fract_y
_atom_site_fract_z
Ga1 0.250 0.000 0.174
Pd1 0.250 0.000 0.258
Pd2 0.250 0.000 0.346
Pd3 0.250 0.000 0.434
Pd4 0.250 0.000 0.522
Pd5 0.250 0.000 0.610
Pd6 0.250 0.000 0.698
Pd7 0.250 0.000 0.788
Pd8 0.250 0.500 0.212
Pd9 0.250 0.500 0.302
Pd10 0.250 0.500 0.390
Pd11 0.250 0.500 0.478
Pd12 0.250 0.500 0.566
Pd13 0.250 0.500 0.654
Pd14 0.250 0.500 0.743
Pd15 0.250 0.500 0.832
# **Crystal system**: orthorhombic

=====

Which of them is most stable, and which least? Most stable: 4); least stable: 3).